(1)
# BaGd2Tm

A relaxed BaGd2Tm crystal (PBE, Alexandria).

a b c (Å): 3.6201 3.6201 12.9676
angles (deg): 81.98 81.98 60.00
Element x y z (fractional)
Gd1 0.0941 0.0941 0.7177
Gd2 0.9059 0.9059 0.2823
Ba1 0.0000 0.0000 0.0000
Tm1 0.5000 0.5000 0.5000

Results
**Energy of formation**: 0.210 eV/atom
**Total energy**: -8.429 eV/atom
**Energy above the most stable polymorph in this dataset**: 0.068 eV per atom
**SG**: R-3m (166)

---

(2)
# BaGdY

A relaxed BaGdY crystal (PBE, Alexandria).

a b c (Å): 3.7893 3.7893 8.7006
angles (deg): 102.58 102.58 90.00
Element x y z (fractional)
Y1 0.6816 0.6816 0.3631
Gd1 0.3174 0.3174 0.6347
Ba1 0.0011 0.0011 0.0022

Results
**Energy of formation**: 0.165 eV/atom
**Total energy**: -7.324 eV/atom
**Energy above the most stable polymorph in this dataset**: 0.000 eV per atom
**SG**: I4mm (107)

---

(3)
# BaGd2Y

A relaxed BaGd2Y crystal (PBE, Alexandria).

a b c (Å): 3.7275 3.7275 10.8391
angles (deg): 90.00 90.00 90.00
Element x y z (fractional)
Y1 0.5000 0.5000 0.0000
Gd1 0.0000 0.0000 0.7828
Gd2 0.0000 0.0000 0.2172
Ba1 0.5000 0.5000 0.5000

Results
**Energy of formation**: 0.142 eV/atom
**Total energy**: -8.995 eV/atom
**Energy above the most stable polymorph in this dataset**: 0.000 eV per atom
**SG**: P4/mmm (123)

---

(4)
# BaGd2Y

A relaxed BaGd2Y crystal (PBE, Alexandria).

a b c (Å): 3.6457 3.6457 13.0521
angles (deg): 81.97 81.97 60.00
Element x y z (fractional)
Gd1 0.9067 0.9067 0.2799
Gd2 0.0933 0.0933 0.7201
Ba1 0.0000 0.0000 0.0000
Y1 0.5000 0.5000 0.5000

Results
**Energy of formation**: 0.205 eV/atom
**Total energy**: -8.932 eV/atom
**Energy above the most stable polymorph in this dataset**: 0.062 eV per atom
**SG**: R-3m (166)

---

(5)
# BaGdY

A relaxed BaGdY crystal (PBE, Alexandria).

a b c (Å): 3.7905 3.7905 9.3826
angles (deg): 90.00 90.00 120.00
Element x y z (fractional)
Gd1 0.6667 0.3333 0.3559
Ba1 0.0000 0.0000 0.9978
Y1 0.3333 0.6667 0.6463

Results
**Energy of formation**: 0.174 eV/atom
**Total energy**: -7.316 eV/atom
**Energy above the most stable polymorph in this dataset**: 0.008 eV per atom
**SG**: P3m1 (156)

---

(6)
# BaGdY2

A relaxed BaGdY2 crystal (PBE, Alexandria).

a b c (Å): 3.7337 3.7337 10.7579
angles (deg): 90.00 90.00 90.00
Element x y z (fractional)
Ba1 0.5000 0.5000 0.5000
Y1 0.0000 0.0000 0.2171
Y2 0.0000 0.0000 0.7829
Gd1 0.5000 0.5000 0.0000

Results
**Energy of formation**: 0.158 eV/atom
**Total energy**: -7.075 eV/atom
**SG**: P4/mmm (123)

---

(7)
# BaGd2Zn

A relaxed BaGd2Zn crystal (PBE, Alexandria).

a b c (Å): 3.7168 3.7168 9.6715
angles (deg): 90.00 90.00 90.00
Element x y z (fractional)
Zn1 0.5000 0.5000 0.0000
Gd1 0.0000 0.0000 0.1704
Gd2 0.0000 0.0000 0.8296
Ba1 0.5000 0.5000 0.5000

Results
**Energy of formation**: -0.058 eV/atom
**Total energy**: -7.898 eV/atom
**Energy above the most stable polymorph in this dataset**: 0.000 eV per atom
**SG**: P4/mmm (123)

---

(8)
# BaGd2Zn

A relaxed BaGd2Zn crystal (PBE, Alexandria).

a b c (Å): 3.7197 3.7197 11.7135
angles (deg): 80.86 80.86 60.00
Element x y z (fractional)
Zn1 0.5000 0.5000 0.5000
Gd1 0.1062 0.1062 0.6815
Gd2 0.8938 0.8938 0.3185
Ba1 0.0000 0.0000 0.0000

Results
**Energy of formation**: 0.140 eV/atom
**Total energy**: -7.699 eV/atom
**Energy above the most stable polymorph in this dataset**: 0.198 eV per atom
**SG**: R-3m (166)

---

(9)
# Ba2GdZn

A relaxed Ba2GdZn crystal (PBE, Alexandria).

a b c (Å): 3.9343 3.9343 12.6129
angles (deg): 81.03 81.03 60.00
Element x y z (fractional)
Zn1 0.5000 0.5000 0.5000
Ba1 0.0996 0.0996 0.7013
Ba2 0.9004 0.9004 0.2987
Gd1 0.0000 0.0000 0.0000

Results
**Energy of formation**: 0.304 eV/atom
**Total energy**: -4.496 eV/atom
**SG**: R-3m (166)

---

(10)
# BaGe

A relaxed BaGe crystal (PBE, Alexandria).

a b c (Å): 6.6318 6.6318 4.3408
angles (deg): 90.00 90.00 134.92
Element x y z (fractional)
Ge1 0.4359 0.5641 0.2500
Ge2 0.5641 0.4359 0.7500
Ba1 0.8626 0.1374 0.7500
Ba2 0.1374 0.8626 0.2500

Results
**Energy of formation**: -0.598 eV/atom
**Total energy**: -3.868 eV/atom
**SG**: Cmcm (63)

---

(11)
# Ba3Ge4

A relaxed Ba3Ge4 crystal (PBE, Alexandria).

a b c (Å): 8.5729 8.5729 12.2435
angles (deg): 90.00 90.00 92.12
Element x y z (fractional)
Ge1 0.0620 0.6586 0.0000
Ge2 0.1994 0.4117 0.5000
Ge3 0.2965 0.7035 0.1361
Ge4 0.2965 0.7035 0.8639
Ge5 0.7035 0.2965 0.8639
Ge6 0.8023 0.8023 0.6510
Ge7 0.5883 0.8006 0.5000
Ge8 0.7035 0.2965 0.1361
Ge9 0.9380 0.3414 0.0000
Ge10 0.1977 0.1977 0.6510
Ge11 0.3414 0.9380 0.0000
Ge12 0.8006 0.5883 0.5000
Ge13 0.4117 0.1994 0.5000
Ge14 0.6586 0.0620 0.0000
Ge15 0.8023 0.8023 0.3490
Ge16 0.1977 0.1977 0.3490
Ba1 0.5000 0.0000 0.2563
Ba2 0.0000 0.5000 0.7437
Ba3 0.0000 0.5000 0.2563
Ba4 0.0000 0.0000 0.8389
Ba5 0.5000 0.5000 0.6750
Ba6 0.8414 0.1586 0.5000
Ba7 0.0000 0.0000 0.1611
Ba8 0.6637 0.6637 0.0000
Ba9 0.5000 0.5000 0.3250
Ba10 0.3363 0.3363 0.0000
Ba11 0.1586 0.8414 0.5000
Ba12 0.5000 0.0000 0.7437

Results
**Energy of formation**: -0.572 eV/atom
**Total energy**: -4.034 eV/atom
**Energy above the most stable polymorph in this dataset**: 0.000 eV per atom
**SG**: Cmmm (65)

---

(12)
# BaGe

A relaxed BaGe crystal (PBE, Alexandria).

a b c (Å): 20.8281 4.2037 5.1233
angles (deg): 90.00 90.00 90.00
Element x y z (fractional)
Ge1 0.2129 0.5000 0.0000
Ge2 0.2871 0.0000 0.0000
Ge3 0.7129 0.0000 0.0000
Ge4 0.7871 0.5000 0.0000
Ge5 0.0000 0.0000 0.5000
Ge6 0.5000 0.5000 0.5000
Ba1 0.6616 0.5000 0.5000
Ba2 0.8384 0.0000 0.5000
Ba3 0.0000 0.5000 0.0000
Ba4 0.1616 0.0000 0.5000
Ba5 0.5000 0.0000 0.0000
Ba6 0.3384 0.5000 0.5000

Results
**Energy of formation**: -0.472 eV/atom
**Total energy**: -3.742 eV/atom
**SG**: Cmmm (65)